A plane-wave DFT calculation with PBE-GGA was carried out for an optimized crystal structure of Sr3ZnIn6Sn2.

The value obtained for the formation enthalpy at 0 K is -242 kJ/mol of formula units. The total energy comes out at -2.772 eV per atom. The calculated density is 5.71 g cm⁻³. Its magnetic moment is 0.0000 μB per atom. The density of states at the Fermi level is 8.64 states/eV/f.u.

The space group is P-3m1 (No. 164) and the conventional cell measures 6.2670, 6.2670 and 10.7179 Å, with angles of 90.00, 90.00 and 120.00 degrees. The distinct sites, in fractional coordinates, are Sr at (0.0000, 0.0000, 0.0000), Sr at (0.3333, 0.6667, 0.5734), Zn at (0.0000, 0.0000, 0.5000), In at (0.1685, 0.3371, 0.2800) and Sn at (0.3333, 0.6667, 0.0340).